Ce5TmSb6: relaxed, PBE-GGA.

a = 7.7472 Å, b = 7.7503 Å, c = 7.7500 Å
α = 60.00°, β = 80.39°, γ = 70.50°
With the nearest neighbours (Å) after each atom.
Sites, in units of the cell vectors:
Sb1 0.7547 0.0813 0.3283  1 Tm 3.11, 5 Ce 3.16-3.19
Sb2 0.2453 0.5903 0.3283  1 Tm 3.11, 5 Ce 3.16-3.19
Sb3 0.2489 0.2445 0.0000  1 Tm 3.12, 5 Ce 3.17-3.21
Sb4 0.7511 0.7555 0.0000  1 Tm 3.12, 5 Ce 3.17-3.21
Sb5 0.7547 0.4097 0.6717  1 Tm 3.11, 5 Ce 3.16-3.19
Sb6 0.2453 0.9187 0.6717  1 Tm 3.11, 5 Ce 3.16-3.19
Tm1 0.0000 0.0000 0.0000  6 Sb 3.11-3.12
Ce1 0.5000 0.1692 0.6617  6 Sb 3.17-3.19
Ce2 0.0000 0.3343 0.3314  6 Sb 3.16-3.17
Ce3 0.5000 0.5000 0.0000  6 Sb 3.17-3.21
Ce4 0.0000 0.6657 0.6686  6 Sb 3.16-3.17
Ce5 0.5000 0.8308 0.3383  6 Sb 3.17-3.19

- total magnetic moment (μB/cell) = 4.124
- uncorrected formation energy (kJ/mol of atoms) = -101
- space group = C2/m

Ce2Tm2Sb3: relaxed, PBE-GGA.

a = 4.4545 Å, b = 7.3785 Å, c = 7.3301 Å
α = 99.05°, β = 90.00°, γ = 107.57°
With the nearest neighbours (Å) after each atom.
Sites, in units of the cell vectors:
Ce1 0.6221 0.2442 0.8484  5 Sb 3.13-3.15
Ce2 0.3779 0.7558 0.1516  5 Sb 3.13-3.15
Tm1 0.8823 0.7646 0.6152  4 Sb 3.03-3.05
Tm2 0.1177 0.2354 0.3848  4 Sb 3.03-3.05
Sb1 0.0000 0.0000 0.0000  2 Tm 3.03, 4 Ce 3.13
Sb2 0.7374 0.4747 0.2558  3 Tm 3.04-3.05, 3 Ce 3.15
Sb3 0.2626 0.5253 0.7442  3 Tm 3.04-3.05, 3 Ce 3.15

- total magnetic moment (μB/cell) = 1.943
- uncorrected formation energy (kJ/mol of atoms) = -72
- space group = C2/m

CeTm3Sb2: relaxed, PBE-GGA.

a = 4.2176 Å, b = 8.4354 Å, c = 11.1945 Å
α = 110.44°, β = 90.00°, γ = 104.48°
With the nearest neighbours (Å) after each atom.
Sites, in units of the cell vectors:
Ce1 0.8835 0.7671 0.9662  7 Sb 3.16-3.39
Ce2 0.1165 0.2329 0.0338  7 Sb 3.16-3.39
Tm1 0.2820 0.5640 0.6264  2 Sb 2.98-3.20
Tm2 0.9408 0.8816 0.5987  2 Sb 3.14, 5 Tm 3.42-3.45
Tm3 0.6198 0.2396 0.6749  3 Sb 3.03-3.23
Tm4 0.3802 0.7604 0.3251  3 Sb 3.03-3.23
Tm5 0.0592 0.1184 0.4013  2 Sb 3.14, 5 Tm 3.42-3.45
Tm6 0.7180 0.4360 0.3736  2 Sb 2.98-3.20
Sb1 0.4813 0.9625 0.8207  4 Tm 3.14-3.23, 4 Ce 3.35-3.39
Sb2 0.5187 0.0375 0.1793  4 Tm 3.14-3.23, 4 Ce 3.35-3.39
Sb3 0.7692 0.5385 0.1435  3 Tm 2.98-3.03, 3 Ce 3.16-3.18
Sb4 0.2308 0.4615 0.8565  3 Tm 2.98-3.03, 3 Ce 3.16-3.18

- total magnetic moment (μB/cell) = 2.523
- uncorrected formation energy (kJ/mol of atoms) = -59
- space group = C2/m

CeTmSb: relaxed, PBE-GGA.

a = 4.9072 Å, b = 4.9072 Å, c = 8.8814 Å
α = 73.96°, β = 73.96°, γ = 60.00°
With the nearest neighbours (Å) after each atom.
Sites, in units of the cell vectors:
Ce1 0.8573 0.8573 0.4282  3 Ce 3.08, 3 Sb 3.25
Ce2 0.1427 0.1427 0.5718  3 Ce 3.08, 3 Sb 3.25
Tm1 0.7111 0.7111 0.8668  4 Sb 2.97-3.14
Tm2 0.2889 0.2889 0.1332  4 Sb 2.97-3.14
Sb1 0.5869 0.5869 0.2393  4 Tm 2.97-3.14, 3 Ce 3.25
Sb2 0.4131 0.4131 0.7607  4 Tm 2.97-3.14, 3 Ce 3.25

- total magnetic moment (μB/cell) = 2.396
- uncorrected formation energy (kJ/mol of atoms) = -44
- space group = R-3m

Copy entry 2 word for word.
Ce2Tm2Sb3: relaxed, PBE-GGA.

a = 4.4545 Å, b = 7.3785 Å, c = 7.3301 Å
α = 99.05°, β = 90.00°, γ = 107.57°
With the nearest neighbours (Å) after each atom.
Sites, in units of the cell vectors:
Ce1 0.6221 0.2442 0.8484  5 Sb 3.13-3.15
Ce2 0.3779 0.7558 0.1516  5 Sb 3.13-3.15
Tm1 0.8823 0.7646 0.6152  4 Sb 3.03-3.05
Tm2 0.1177 0.2354 0.3848  4 Sb 3.03-3.05
Sb1 0.0000 0.0000 0.0000  2 Tm 3.03, 4 Ce 3.13
Sb2 0.7374 0.4747 0.2558  3 Tm 3.04-3.05, 3 Ce 3.15
Sb3 0.2626 0.5253 0.7442  3 Tm 3.04-3.05, 3 Ce 3.15

- total magnetic moment (μB/cell) = 1.943
- uncorrected formation energy (kJ/mol of atoms) = -72
- space group = C2/m